Entry 1:
# ZnB6 | the Open Quantum Materials Database | PBE | relaxed
data_ZnB6
_cell_length_a 5.3759
_cell_length_b 5.3759
_cell_length_c 5.3759
_cell_angle_alpha 71.26
_cell_angle_beta 71.26
_cell_angle_gamma 71.26
_space_group_name_H-M_alt 'P 1'
_space_group_IT_number 1
_space_group_name_Hall 'P 1'
loop_
_atom_site_label
_atom_site_type_symbol
_atom_site_fract_x
_atom_site_fract_y
_atom_site_fract_z
Zn1 Zn 0.1252 0.1252 0.1252
Zn2 Zn 0.8748 0.8748 0.8748
B1 B 0.1722 0.4835 0.4835
B2 B 0.2437 0.6696 0.6696
B3 B 0.3304 0.3304 0.7563
B4 B 0.3304 0.7563 0.3304
B5 B 0.4835 0.1722 0.4835
B6 B 0.4835 0.4835 0.1722
B7 B 0.5165 0.5165 0.8278
B8 B 0.5165 0.8278 0.5165
B9 B 0.6696 0.2437 0.6696
B10 B 0.6696 0.6696 0.2437
B11 B 0.7563 0.3304 0.3304
B12 B 0.8278 0.5165 0.5165
# Electronic total energy (eV/atom): -5.64
# SG: R-3m (166)
# Volume (Å³ per atom): 9.7
# Energy above the most stable polymorph in this dataset (meV per atom): 0

Entry 2:
# ZnB6 | the Open Quantum Materials Database | PBE | relaxed
data_ZnB6
_cell_length_a 4.1216
_cell_length_b 4.1216
_cell_length_c 4.1216
_cell_angle_alpha 90.00
_cell_angle_beta 90.00
_cell_angle_gamma 90.00
_space_group_name_H-M_alt 'P 1'
_space_group_IT_number 1
_space_group_name_Hall 'P 1'
loop_
_atom_site_label
_atom_site_type_symbol
_atom_site_fract_x
_atom_site_fract_y
_atom_site_fract_z
Zn1 Zn 0.0000 0.0000 0.0000
B1 B 0.1989 0.5000 0.5000
B2 B 0.5000 0.1989 0.5000
B3 B 0.5000 0.5000 0.1989
B4 B 0.5000 0.5000 0.8011
B5 B 0.5000 0.8011 0.5000
B6 B 0.8011 0.5000 0.5000
# Electronic total energy (eV/atom): -5.55
# SG: Pm-3m (221)
# Volume (Å³ per atom): 10.0
# Energy above the most stable polymorph in this dataset (meV per atom): 89

Entry 3:
# ZnB | the Open Quantum Materials Database | PBE | relaxed
data_ZnB
_cell_length_a 3.6897
_cell_length_b 3.0942
_cell_length_c 13.8630
_cell_angle_alpha 90.00
_cell_angle_beta 93.86
_cell_angle_gamma 90.00
_space_group_name_H-M_alt 'P 1'
_space_group_IT_number 1
_space_group_name_Hall 'P 1'
loop_
_atom_site_label
_atom_site_type_symbol
_atom_site_fract_x
_atom_site_fract_y
_atom_site_fract_z
Zn1 Zn 0.0000 0.0000 0.0000
Zn2 Zn 0.0129 0.5000 0.4949
Zn3 Zn 0.1977 0.0000 0.6393
Zn4 Zn 0.4533 0.0000 0.2735
Zn5 Zn 0.5112 0.5000 0.0777
Zn6 Zn 0.8810 0.5000 0.8512
B1 B 0.0231 0.5000 0.1843
B2 B 0.3620 0.5000 0.7673
B3 B 0.3913 0.0000 0.7918
B4 B 0.4965 0.5000 0.4080
B5 B 0.5077 0.0000 0.4306
B6 B 0.9365 0.0000 0.1765
# Electronic total energy (eV/atom): -3.61
# SG: Pm (6)
# Volume (Å³ per atom): 13.2

Entry 4:
# ZrZnB2 | the Open Quantum Materials Database | PBE | relaxed
data_ZrZnB2
_cell_length_a 4.1592
_cell_length_b 4.1592
_cell_length_c 4.1592
_cell_angle_alpha 60.00
_cell_angle_beta 60.00
_cell_angle_gamma 60.00
_space_group_name_H-M_alt 'P 1'
_space_group_IT_number 1
_space_group_name_Hall 'P 1'
loop_
_atom_site_label
_atom_site_type_symbol
_atom_site_fract_x
_atom_site_fract_y
_atom_site_fract_z
Zr1 Zr 0.0000 0.0000 0.0000
Zn1 Zn 0.2500 0.2500 0.2500
B1 B 0.5000 0.5000 0.5000
B2 B 0.7500 0.7500 0.7500
# Electronic total energy (eV/atom): -4.75
# SG: F-43m (216)
# Volume (Å³ per atom): 12.7